Entry a
## NiAs2Cl (meta-GGA SCAN)

Data for a PBEsol-optimized structure of NiAs2Cl.

Unit cell a=3.7726 b=4.6971 c=4.5615 alpha=119.06 beta=90.00 gamma=90.00
Closest atoms and distances in Å follow each position.
Positions (direct):
Ni1 0.5000 0.5000 0.0000  2 Cl 2.28, 4 As 2.36
As1 0.0000 0.8470 0.1735  2 Ni 2.36, 2 As 2.60
As2 0.0000 0.1530 0.8265  2 Ni 2.36, 2 As 2.60
Cl1 0.5000 0.5000 0.5000  2 Ni 2.28

Values from the calculation:
DOS at the Fermi energy ... 1.34 states/eV per cell
Space-group type ... Cmmm (65)

=====

Entry b
## NiAs2Cl (meta-GGA SCAN)

Data for a PBEsol-optimized structure of NiAs2Cl.

Unit cell a=2.6298 b=3.3537 c=7.8806 alpha=90.00 beta=90.00 gamma=90.00
Closest atoms and distances in Å follow each position.
Positions (direct):
Ni1 0.5000 0.5000 0.5000  8 As 2.54, 2 Ni 2.63
As1 0.0000 0.0000 0.6755  4 Ni 2.54, 3 As 2.63-2.77
As2 0.0000 0.0000 0.3245  4 Ni 2.54, 3 As 2.63-2.77
Cl1 0.5000 0.5000 0.0000  2 Cl 2.63

Values from the calculation:
DOS at the Fermi energy ... 0.64 states/eV per cell
Space-group type ... Pmmm (47)

=====

Entry c
## NiAs2Cl (meta-GGA SCAN)

Data for a PBEsol-optimized structure of NiAs2Cl.

Unit cell a=5.8503 b=6.6454 c=5.8503 alpha=63.88 beta=90.00 gamma=116.12
Closest atoms and distances in Å follow each position.
Positions (direct):
Ni1 0.7500 0.5000 0.7500  4 As 2.19
Ni2 0.0000 0.0000 0.0000  4 As 2.19
As1 0.7079 0.7500 0.3750  2 Ni 2.19
As2 0.0421 0.7500 0.8750  2 Ni 2.19
As3 0.8750 0.2500 0.7079  2 Ni 2.19
As4 0.3750 0.2500 0.0421  2 Ni 2.19
Cl1 0.2500 0.5000 0.2500  4 As 2.76
Cl2 0.5000 0.0000 0.5000  4 As 2.76

Values from the calculation:
DOS at the Fermi energy ... 5.15 states/eV per cell
Space-group type ... I-42d (122)

=====

Entry d
## NiAs2Cl (meta-GGA SCAN)

Data for a PBEsol-optimized structure of NiAs2Cl.

Unit cell a=3.0221 b=3.0221 c=8.1027 alpha=90.00 beta=90.00 gamma=112.06
Closest atoms and distances in Å follow each position.
Positions (direct):
Ni1 0.5000 0.5000 0.2434  2 Cl 2.30, 2 As 2.32
As1 0.0000 0.0000 0.0474  2 Ni 2.32
As2 0.5000 0.5000 0.7739  6 As 2.79-3.02
Cl1 0.0000 0.0000 0.4352  2 Ni 2.30

Values from the calculation:
DOS at the Fermi energy ... 2.99 states/eV per cell
Space-group type ... Cmm2 (35)

=====

Best to worst by energy: entry a, entry b, entry c, entry d.

=====

Entry a
## AsP2ClO (meta-GGA SCAN)

Data for a PBEsol-optimized structure of AsP2ClO.

Unit cell a=3.6546 b=4.8535 c=4.8535 alpha=90.00 beta=90.00 gamma=90.00
Closest atoms and distances in Å follow each position.
Positions (direct):
P1 0.0000 0.0000 0.5000  2 As 2.43
P2 0.0000 0.5000 0.0000  2 As 2.43
As1 0.0000 0.0000 0.0000  2 O 1.83
O1 0.5000 0.0000 0.0000  2 As 1.83
Cl1 0.5000 0.5000 0.5000  8 P 3.04

Values from the calculation:
DOS at the Fermi energy ... 3.20 states/eV per cell
Space-group type ... P4/mmm (123)

=====

Entry b
## AsP2ClO (meta-GGA SCAN)

Data for a PBEsol-optimized structure of AsP2ClO.

Unit cell a=3.8401 b=3.8401 c=5.5475 alpha=90.00 beta=90.00 gamma=90.00
Closest atoms and distances in Å follow each position.
Positions (direct):
P1 0.0000 0.5000 0.0000  2 O 1.92
P2 0.5000 0.0000 0.0000  2 O 1.92
As1 0.5000 0.5000 0.5000  4 Cl 2.72
O1 0.0000 0.0000 0.0000  4 P 1.92
Cl1 0.0000 0.0000 0.5000  4 As 2.72, 2 O 2.77

Values from the calculation:
DOS at the Fermi energy ... 2.68 states/eV per cell
Space-group type ... P4/mmm (123)

=====

Best to worst by energy: entry b, entry a.

=====

Entry a
## As2OsCl (meta-GGA SCAN)

Data for a PBEsol-optimized structure of As2OsCl.

Unit cell a=4.4892 b=4.4892 c=4.4892 alpha=60.00 beta=60.00 gamma=60.00
Closest atoms and distances in Å follow each position.
Positions (direct):
As1 0.2500 0.2500 0.2500  4 Cl 2.75, 4 Os 2.75
As2 0.7500 0.7500 0.7500  4 Cl 2.75, 4 Os 2.75
Os1 0.5000 0.5000 0.5000  8 As 2.75
Cl1 0.0000 0.0000 0.0000  8 As 2.75

Values from the calculation:
DOS at the Fermi energy ... 3.72 states/eV per cell
Space-group type ... Fm-3m (225)

=====

Entry b
## As2OsCl (meta-GGA SCAN)

Data for a PBEsol-optimized structure of As2OsCl.

Unit cell a=3.0621 b=4.4543 c=4.6248 alpha=90.00 beta=90.00 gamma=90.00
Closest atoms and distances in Å follow each position.
Positions (direct):
As1 0.0000 0.0000 0.0000  4 As 2.70, 4 Cl 2.77
As2 0.5000 0.5000 0.0000  4 As 2.70, 4 Os 2.77
Os1 0.0000 0.5000 0.5000  4 Cl 2.70, 4 As 2.77
Cl1 0.5000 0.0000 0.5000  4 Os 2.70, 4 As 2.77

Values from the calculation:
DOS at the Fermi energy ... 2.05 states/eV per cell
Space-group type ... Pmmm (47)

=====

Entry c
## As2OsCl (meta-GGA SCAN)

Data for a PBEsol-optimized structure of As2OsCl.

Unit cell a=2.9355 b=2.9514 c=9.0436 alpha=90.00 beta=90.00 gamma=119.82
Closest atoms and distances in Å follow each position.
Positions (direct):
As1 0.0000 0.0000 0.9663  2 Os 2.45
As2 0.5000 0.0000 0.2599  2 Cl 2.80, 8 As 2.94-3.03
Os1 0.5000 0.0000 0.7498  2 As 2.45, 2 Cl 2.51
Cl1 0.0000 0.0000 0.5241  2 Os 2.51, 2 As 2.80

Values from the calculation:
DOS at the Fermi energy ... 2.35 states/eV per cell
Space-group type ... Cmm2 (35)

=====

Entry d
## As2OsCl (meta-GGA SCAN)

Data for a PBEsol-optimized structure of As2OsCl.

Unit cell a=2.8839 b=2.8839 c=9.4340 alpha=90.00 beta=90.00 gamma=118.68
Closest atoms and distances in Å follow each position.
Positions (direct):
As1 0.0000 0.0000 0.2200  2 Os 2.54
As2 0.0000 0.0000 0.7800  2 Os 2.54
Os1 0.5000 0.5000 0.0000  4 As 2.54
Cl1 0.5000 0.5000 0.5000  6 Cl 2.88-2.94, 4 As 3.02

Values from the calculation:
DOS at the Fermi energy ... 2.90 states/eV per cell
Space-group type ... Cmmm (65)

=====

Best to worst by energy: entry d, entry c, entry a, entry b.

=====

Entry a
## AsPbCl2 (meta-GGA SCAN)

Data for a PBEsol-optimized structure of AsPbCl2.

Unit cell a=4.4766 b=4.6529 c=4.6843 alpha=93.17 beta=90.00 gamma=90.00
Closest atoms and distances in Å follow each position.
Positions (direct):
Pb1 0.5000 0.0000 0.5000  4 Cl 2.90, 2 As 3.21
As1 0.5000 0.5000 0.0000  4 Cl 2.72
Cl1 0.0000 0.2720 0.2282  2 As 2.72, 2 Pb 2.90
Cl2 0.0000 0.7280 0.7718  2 As 2.72, 2 Pb 2.90

Values from the calculation:
DOS at the Fermi energy ... 1.34 states/eV per cell
Space-group type ... P2/m (10)

=====

Entry b
## AsPbCl2 (meta-GGA SCAN)

Data for a PBEsol-optimized structure of AsPbCl2.

Unit cell a=4.9550 b=4.9550 c=4.9550 alpha=60.00 beta=60.00 gamma=60.00
Closest atoms and distances in Å follow each position.
Positions (direct):
Pb1 0.2500 0.2500 0.2500  4 As 3.03, 4 Cl 3.03
As1 0.5000 0.5000 0.5000  4 Cl 3.03, 4 Pb 3.03
Cl1 0.0000 0.0000 0.0000  4 Cl 3.03, 4 Pb 3.03
Cl2 0.7500 0.7500 0.7500  4 Cl 3.03, 4 As 3.03

Values from the calculation:
DOS at the Fermi energy ... 4.72 states/eV per cell
Space-group type ... F-43m (216)

=====

Entry c
## AsPbCl2 (meta-GGA SCAN)

Data for a PBEsol-optimized structure of AsPbCl2.

Unit cell a=3.2908 b=3.2908 c=9.4922 alpha=80.02 beta=80.02 gamma=60.00
Closest atoms and distances in Å follow each position.
Positions (direct):
Pb1 0.5000 0.5000 0.5000  6 Cl 3.11, 6 Pb 3.29
As1 0.0000 0.0000 0.0000  6 Cl 2.90
Cl1 0.2548 0.2548 0.2357  3 As 2.90, 3 Pb 3.11
Cl2 0.7452 0.7452 0.7643  3 As 2.90, 3 Pb 3.11

Values from the calculation:
DOS at the Fermi energy ... 1.88 states/eV per cell
Space-group type ... R-3m (166)

=====

Best to worst by energy: entry a, entry c, entry b.

=====

Entry a
## AsPtCl2 (meta-GGA SCAN)

Data for a PBEsol-optimized structure of AsPtCl2.

Unit cell a=3.0800 b=3.0800 c=8.9364 alpha=80.08 beta=80.08 gamma=60.00
Closest atoms and distances in Å follow each position.
Positions (direct):
As1 0.5000 0.5000 0.5000  6 Cl 2.77, 6 As 3.08
Pt1 0.0000 0.0000 0.0000  2 Cl 2.26
Cl1 0.9140 0.9140 0.2581  1 Pt 2.26
Cl2 0.0860 0.0860 0.7419  1 Pt 2.26

Values from the calculation:
DOS at the Fermi energy ... 1.50 states/eV per cell
Space-group type ... R-3m (166)

=====

Entry b
## AsPtCl2 (meta-GGA SCAN)

Data for a PBEsol-optimized structure of AsPtCl2.

Unit cell a=3.0222 b=3.2361 c=8.7066 alpha=90.00 beta=90.00 gamma=117.84
Closest atoms and distances in Å follow each position.
Positions (direct):
As1 0.5000 0.0000 0.0000  4 Cl 2.93, 6 As 3.02-3.24
Pt1 0.5000 0.0000 0.5000  4 Cl 2.39
Cl1 0.0000 0.0000 0.7122  2 Pt 2.39
Cl2 0.0000 0.0000 0.2878  2 Pt 2.39

Values from the calculation:
DOS at the Fermi energy ... 2.07 states/eV per cell
Space-group type ... Cmmm (65)

=====

Entry c
## AsPtCl2 (meta-GGA SCAN)

Data for a PBEsol-optimized structure of AsPtCl2.

Unit cell a=3.9034 b=4.2243 c=4.2243 alpha=90.00 beta=90.00 gamma=90.00
Closest atoms and distances in Å follow each position.
Positions (direct):
As1 0.5000 0.0000 0.0000  8 Cl 2.88, 4 Pt 2.99
Pt1 0.5000 0.5000 0.5000  8 Cl 2.88, 4 As 2.99
Cl1 0.0000 0.0000 0.5000  4 As 2.88, 4 Pt 2.88, 4 Cl 2.99
Cl2 0.0000 0.5000 0.0000  4 Pt 2.88, 4 As 2.88, 4 Cl 2.99

Values from the calculation:
DOS at the Fermi energy ... 3.09 states/eV per cell
Space-group type ... P4/mmm (123)

=====

Entry d
## AsPtCl2 (meta-GGA SCAN)

Data for a PBEsol-optimized structure of AsPtCl2.

Unit cell a=4.1931 b=4.1931 c=5.0020 alpha=112.72 beta=112.72 gamma=94.51
Closest atoms and distances in Å follow each position.
Positions (direct):
As1 0.5000 0.5000 0.0000  4 Cl 2.57, 2 Pt 2.85
Pt1 0.0000 0.0000 0.0000  4 Cl 2.57, 2 As 2.85
Cl1 0.5000 0.0000 0.5000  2 Pt 2.57, 2 As 2.57, 2 Cl 2.85
Cl2 0.0000 0.5000 0.5000  2 As 2.57, 2 Pt 2.57, 2 Cl 2.85

Values from the calculation:
DOS at the Fermi energy ... 1.46 states/eV per cell
Space-group type ... Fmmm (69)

=====

Best to worst by energy: entry a, entry d, entry b, entry c.